1.
{"formula": "Ac2TaHg", "functional": "PBE", "state": "optimized geometry", "total_energy_ev_per_atom": -4.3297, "magmom_total_mub_per_cell": 0.00, "sg": "R-3m, No. 166", "delta_e_f_ev_per_atom": 0.76, "cell": [[3.480, 0.000, 0.000], [-1.740, 3.013, 0.000], [0.000, 0.000, 35.717]], "species": ["Ac", "Ac", "Ac", "Ac", "Ac", "Ac", "Ta", "Ta", "Ta", "Hg", "Hg", "Hg"], "frac_coords": [[0.000, 0.000, 0.086], [0.000, 0.000, 0.914], [0.333, 0.667, 0.581], [0.333, 0.667, 0.752], [0.667, 0.333, 0.248], [0.667, 0.333, 0.419], [0.000, 0.000, 0.000], [0.333, 0.667, 0.667], [0.667, 0.333, 0.333], [0.000, 0.000, 0.500], [0.333, 0.667, 0.167], [0.667, 0.333, 0.833]]}

=====

2.
{"formula": "ZrTlCuSe4", "functional": "PBE", "state": "optimized geometry", "total_energy_ev_per_atom": -4.7935, "magmom_total_mub_per_cell": 0.00, "sg": "P2_1/m, No. 11", "formation_energy_uncorrected_kcal_per_mol_atoms": -15.17, "cell": [[6.923, 0.000, 0.000], [0.000, 5.468, 0.000], [-3.070, 0.000, 9.183]], "species": ["Zr", "Zr", "Tl", "Tl", "Cu", "Cu", "Se", "Se", "Se", "Se", "Se", "Se", "Se", "Se"], "frac_coords": [[0.227, 0.250, 0.441], [0.773, 0.750, 0.559], [0.252, 0.250, 0.956], [0.748, 0.750, 0.044], [0.223, 0.750, 0.670], [0.777, 0.250, 0.330], [0.035, 0.750, 0.835], [0.060, 0.750, 0.411], [0.482, 0.510, 0.312], [0.482, 0.990, 0.312], [0.518, 0.010, 0.688], [0.518, 0.490, 0.688], [0.940, 0.250, 0.589], [0.965, 0.250, 0.165]]}

=====

3.
{"formula": "HfB3F", "functional": "PBE", "state": "optimized geometry", "total_energy_ev_per_atom": -4.5103, "magmom_total_mub_per_cell": 0.00, "sg": "Pm-3m, No. 221", "formation_energy_uncorrected_kcal_per_mol_atoms": 42.92, "de_polymorph_ev_per_atom": 0.959, "cell": [[4.599, 0.000, 0.000], [0.000, 4.599, 0.000], [0.000, 0.000, 4.599]], "species": ["Hf", "B", "B", "B", "F"], "frac_coords": [[0.000, 0.000, 0.000], [0.000, 0.000, 0.500], [0.000, 0.500, 0.000], [0.500, 0.000, 0.000], [0.500, 0.500, 0.500]]}

=====

4.
{"formula": "Tb2Pa2Se2S5", "functional": "PBE", "state": "optimized geometry", "total_energy_ev_per_atom": -6.6528, "magmom_total_mub_per_cell": 0.43, "sg": "I4/mmm, No. 139", "formation_energy_uncorrected_kcal_per_mol_atoms": -36.32, "cell": [[-2.654, 2.654, 11.841], [2.654, -2.654, 11.841], [2.654, 2.654, -11.841]], "species": ["Tb", "Tb", "Pa", "Pa", "Se", "Se", "S", "S", "S", "S", "S"], "frac_coords": [[0.161, 0.161, 0.000], [0.839, 0.839, 0.000], [0.390, 0.390, 0.000], [0.610, 0.610, 0.000], [0.276, 0.276, 0.000], [0.724, 0.724, 0.000], [0.118, 0.618, 0.500], [0.382, 0.882, 0.500], [0.500, 0.500, 0.000], [0.618, 0.118, 0.500], [0.882, 0.382, 0.500]]}

=====

5.
{"formula": "Ba2YCr", "functional": "PBE", "state": "optimized geometry", "total_energy_ev_per_atom": -4.4872, "magmom_total_mub_per_cell": 6.82, "sg": "Imm2, No. 44", "delta_e_f_ev_per_atom": 0.50, "de_polymorph_ev_per_atom": 0.104, "cell": [[4.036, 0.000, 0.000], [0.000, 6.272, 0.000], [0.000, 0.000, 12.568]], "species": ["Ba", "Ba", "Ba", "Ba", "Y", "Y", "Cr", "Cr"], "frac_coords": [[0.000, 0.000, 0.000], [0.000, 0.500, 0.204], [0.500, 0.000, 0.704], [0.500, 0.500, 0.500], [0.000, 0.000, 0.405], [0.500, 0.500, 0.905], [0.000, 0.500, 0.730], [0.500, 0.000, 0.230]]}

=====

6.
{"formula": "CrB3Au", "functional": "PBE", "state": "optimized geometry", "total_energy_ev_per_atom": -4.3341, "magmom_total_mub_per_cell": 0.10, "sg": "Pm-3m, No. 221", "delta_e_f_ev_per_atom": 2.25, "de_polymorph_ev_per_atom": 0.933, "cell": [[4.107, 0.000, 0.000], [0.000, 4.107, 0.000], [0.000, 0.000, 4.107]], "species": ["Cr", "B", "B", "B", "Au"], "frac_coords": [[0.000, 0.000, 0.000], [0.000, 0.500, 0.500], [0.500, 0.000, 0.500], [0.500, 0.500, 0.000], [0.500, 0.500, 0.500]]}